Density functional theory data (PBE-GGA) for crystalline Pu2Ge4Ir3Pd at its relaxed geometry.

Lattice parameters (Å, degrees): 4.2467 4.2467 10.2482 90.00 90.00 90.00
Each line ends with the local moment (μB).
Element x y z (fractional)
1 Ge 0.5000 0.5000 0.0000  -0.01
2 Ge 0.0000 0.0000 0.0000  -0.01
3 Pu 0.5000 0.0000 0.2419  5.14
4 Ir 0.0000 0.0000 0.5000  0.05
5 Ir 0.0000 0.5000 0.1285  -0.10
6 Ge 0.5000 0.0000 0.6343  -0.01
7 Pd 0.5000 0.5000 0.5000  0.06
8 Ge 0.0000 0.5000 0.3657  -0.01
9 Pu 0.0000 0.5000 0.7581  5.14
10 Ir 0.5000 0.0000 0.8715  -0.10

Summary:
Formation energy from the elements (kcal/mol of atoms): -12.98
Size of the total moment (μB per atom): 1.0573

Density functional theory data (PBE-GGA) for crystalline MgVRhW2 at its relaxed geometry.

Lattice parameters (Å, degrees): 4.5784 4.2655 4.5784 90.00 90.00 90.00
Element x y z (fractional)
1 W 0.0000 0.0000 0.5000
2 V 0.5000 0.5000 0.5000
3 W 0.5000 0.0000 0.0000
4 Rh 0.0000 0.5000 0.0000
5 Mg 0.0000 0.0000 0.0000

Summary:
Formation energy from the elements (kcal/mol of atoms): 48.03
Size of the total moment (μB per atom): 0.0000